! CsTiSn3 PBE optimized geometry; values from VASP
&SYSTEM
  ibrav = 0, nat = 5, ntyp = 3
/
ATOMIC_SPECIES
Ti 47.87 Ti.upf
Sn 118.71 Sn.upf
Cs 132.91 Cs.upf
ATOMIC_POSITIONS angstrom
Ti 0.0000 0.0000 0.0000
Sn -1.9651 1.5152 -1.1151
Sn -1.3581 -0.0267 2.3571
Sn -1.3018 -2.2593 -0.7758
Cs -4.6251 -0.7708 0.4662
CELL_PARAMETERS angstrom
-3.9302 3.0304 -2.2302
-2.6037 -4.5186 -1.5515
-2.7163 -0.0535 4.7141
! Space group: Pm-3m
! Offset from the most stable computed form: 0.000 eV/atom
! Crystal system: cubic
! DFT formation energy: -110 meV/atom

---

! Si4S7I PBE optimized geometry; values from VASP
&SYSTEM
  ibrav = 0, nat = 24, ntyp = 3
/
ATOMIC_SPECIES
S 32.06 S.upf
Si 28.09 Si.upf
I 126.90 I.upf
ATOMIC_POSITIONS angstrom
S 2.9336 5.2330 3.4615
Si 3.8799 4.1011 1.7835
Si 3.5190 1.2127 3.5728
S 3.1661 5.0768 0.0000
Si 3.8799 4.1011 13.1779
S 2.9056 2.0770 9.5206
S 2.9056 2.0770 5.4408
I 3.0320 4.7866 7.4807
Si 3.5190 1.2127 11.3886
Si 0.7669 2.0304 9.2642
Si 0.4059 4.9188 11.0535
I 6.1451 1.3449 0.0000
Si 0.4059 4.9188 3.9079
S 2.8232 2.2199 13.1456
S 2.8232 2.2199 1.8158
S 6.0187 4.0545 12.9215
S 6.0467 0.8985 10.9422
S 5.9363 3.9116 5.6649
S 5.9363 3.9116 9.2965
S 6.0187 4.0545 2.0399
Si 0.7669 2.0304 5.6972
S 2.9336 5.2330 11.4999
S 6.0467 0.8985 4.0192
S 0.0530 1.0547 7.4807
CELL_PARAMETERS angstrom
6.2261 0.0000 0.0000
0.0000 6.1315 0.0000
0.0000 0.0000 14.9614
! Space group: Pmn2_1
! Crystal system: orthorhombic
! E_form (uncorrected): -3.39 eV per formula unit

---

! NaCa2MgPt PBE optimized geometry; values from VASP
&SYSTEM
  ibrav = 0, nat = 5, ntyp = 4
/
ATOMIC_SPECIES
Mg 24.30 Mg.upf
Pt 195.08 Pt.upf
Ca 40.08 Ca.upf
Na 22.99 Na.upf
ATOMIC_POSITIONS angstrom
Mg 2.5315 0.5781 -0.1461
Pt 0.0000 0.0000 0.0000
Ca -0.3081 1.8694 2.0584
Na 2.7860 0.4613 3.8003
Ca 0.5625 -1.9862 1.8881
CELL_PARAMETERS angstrom
-0.6162 3.7388 4.1167
1.1251 -3.9724 3.7761
5.0631 1.1562 -0.2922
! Space group: P4/mmm
! Crystal system: tetragonal
! DFT formation energy: -420 meV/atom

---

! CeSi2F8 PBE optimized geometry; values from VASP
&SYSTEM
  ibrav = 0, nat = 11, ntyp = 3
/
ATOMIC_SPECIES
F 19.00 F.upf
Ce 140.12 Ce.upf
Si 28.09 Si.upf
ATOMIC_POSITIONS angstrom
F 2.6803 2.5433 6.6593
F 5.0704 2.8652 7.4015
Ce 0.0000 0.0000 0.0000
F 0.5252 0.8309 6.3253
F 4.1365 0.7713 6.3477
F -0.4087 -1.2630 5.2715
Si 0.9060 -0.1291 4.9675
F 2.2410 1.0542 4.4779
F 1.9814 -0.9410 6.0137
Si 3.7557 1.7313 7.7055
F 2.4206 0.5481 8.1952
CELL_PARAMETERS angstrom
-2.1129 -2.4385 3.9926
4.8602 0.2281 4.0250
1.9143 3.8128 4.6554
! Space group: C2/m
! Crystal system: monoclinic
! E_form (uncorrected): -31.89 eV per formula unit

---

! Ba3SnSe PBE optimized geometry; values from VASP
&SYSTEM
  ibrav = 0, nat = 5, ntyp = 3
/
ATOMIC_SPECIES
Sn 118.71 Sn.upf
Ba 137.33 Ba.upf
Se 78.96 Se.upf
ATOMIC_POSITIONS angstrom
Sn 3.0967 3.0967 3.0967
Ba 0.0000 3.0967 0.0000
Se 0.0000 0.0000 0.0000
Ba 0.0000 0.0000 3.0967
Ba 3.0967 0.0000 0.0000
CELL_PARAMETERS angstrom
6.1933 0.0000 0.0000
0.0000 6.1933 0.0000
0.0000 0.0000 6.1933
! Space group: Pm-3m
! Offset from the most stable computed form: 0.000 eV/atom
! Crystal system: cubic
! E_form (uncorrected): -4.57 eV per formula unit

---

! LaPm2DyHg4 PBE optimized geometry; values from VASP
&SYSTEM
  ibrav = 0, nat = 8, ntyp = 4
/
ATOMIC_SPECIES
Pm 145.00 Pm.upf
La 138.91 La.upf
Hg 200.59 Hg.upf
Dy 162.50 Dy.upf
ATOMIC_POSITIONS angstrom
Pm 8.0720 4.6603 6.6318
La 0.0000 0.0000 0.0000
Hg 8.0720 4.6603 3.3957
Hg 5.3813 3.1069 7.6515
Hg 5.3813 3.1069 1.2141
Hg 2.6906 1.5534 5.4699
Dy 5.3813 3.1069 4.4328
Pm 2.6906 1.5534 2.2338
CELL_PARAMETERS angstrom
5.3813 0.0000 0.0000
2.6906 4.6603 0.0000
2.6906 1.5534 8.8656
! Space group: R-3m
! Crystal system: trigonal
! DFT formation energy: -474 meV/atom

---

! Ho4ScRh PBE optimized geometry; values from VASP
&SYSTEM
  ibrav = 0, nat = 12, ntyp = 3
/
ATOMIC_SPECIES
Ho 164.93 Ho.upf
Sc 44.96 Sc.upf
Rh 102.91 Rh.upf
ATOMIC_POSITIONS angstrom
Ho 2.8830 -1.2349 2.1967
Sc 1.4804 -0.1570 4.9135
Ho -1.5752 -1.6855 5.2932
Rh -2.6545 4.5665 6.4184
Ho 3.1724 2.0960 1.1516
Rh 4.4413 -0.4710 0.0265
Ho 0.0779 0.9209 2.1967
Ho -1.0962 5.3304 4.2481
Ho 1.7089 3.1746 4.2481
Ho -1.3856 1.9994 5.2932
Sc 0.3064 4.2525 1.5313
Ho 3.3620 5.7809 1.1516
CELL_PARAMETERS angstrom
5.9217 -0.6280 0.0000
-2.3482 8.8190 0.0000
-1.7868 -4.0955 6.4449
! Space group: C2/c
! Crystal system: monoclinic
! DFT formation energy: -248 meV/atom

---

! Zr3As PBE optimized geometry; values from VASP
&SYSTEM
  ibrav = 0, nat = 8, ntyp = 2
/
ATOMIC_SPECIES
Zr 91.22 Zr.upf
As 74.92 As.upf
ATOMIC_POSITIONS angstrom
Zr -5.3352 -2.5686 -0.9572
Zr -3.5051 -3.8600 -2.9654
Zr -4.7922 0.3374 -0.0256
Zr -1.9966 -0.4396 0.7686
Zr -3.8268 0.8517 2.7768
As -2.9554 -0.9680 -2.0710
Zr -2.5396 -3.3456 -0.1631
As -4.3765 -2.0403 1.8823
CELL_PARAMETERS angstrom
-3.7027 2.6127 4.0630
-1.9533 -1.0407 -5.6697
-1.6758 -4.5802 1.4181
! Space group: P6_3/mmc
! Crystal system: hexagonal
! DFT formation energy: -389 meV/atom

---

! Y4CoSe2S PBE optimized geometry; values from VASP
&SYSTEM
  ibrav = 0, nat = 8, ntyp = 4
/
ATOMIC_SPECIES
Y 88.91 Y.upf
Se 78.96 Se.upf
S 32.06 S.upf
Co 58.93 Co.upf
ATOMIC_POSITIONS angstrom
Y 1.9622 1.2463 1.5619
Se 0.0000 2.3127 3.4273
Se 1.9622 -1.1987 3.3354
Y 1.9622 3.3790 5.2926
Y 0.0000 0.0323 5.2389
S 0.0000 0.0000 0.0000
Co 1.9622 3.5113 0.0919
Y 0.0000 4.5930 1.6156
CELL_PARAMETERS angstrom
3.9244 0.0000 0.0000
0.0000 7.0226 0.1838
0.0000 -2.3973 6.6707
! Space group: P2/m
! Crystal system: monoclinic
! E_form (uncorrected): -11.22 eV per formula unit

---

! Ca5Te4S PBE optimized geometry; values from VASP
&SYSTEM
  ibrav = 0, nat = 10, ntyp = 3
/
ATOMIC_SPECIES
Ca 40.08 Ca.upf
Te 127.60 Te.upf
S 32.06 S.upf
ATOMIC_POSITIONS angstrom
Ca 0.6603 4.2569 3.4225
Te 3.2352 4.8765 5.1578
Ca 3.3645 1.7979 5.8278
Te 0.7896 1.1783 4.0925
Ca -0.1622 3.0294 -0.8409
Ca 1.5082 5.5224 7.8177
S 0.0000 0.0000 0.0000
Ca 2.5166 0.5324 1.4326
Te 1.6246 2.4245 8.4208
Te 2.4002 3.6303 0.8294
CELL_PARAMETERS angstrom
4.3196 0.0000 -0.8334
-0.3245 6.0588 -1.6818
0.0297 -0.0040 11.7655
! Space group: Immm
! Crystal system: orthorhombic
! E_form (uncorrected): -17.14 eV per formula unit

---

! Bi3SeCl7 PBE optimized geometry; values from VASP
&SYSTEM
  ibrav = 0, nat = 11, ntyp = 3
/
ATOMIC_SPECIES
Cl 35.45 Cl.upf
Se 78.96 Se.upf
Bi 208.98 Bi.upf
ATOMIC_POSITIONS angstrom
Cl 3.9397 4.1065 4.6209
Cl 0.0184 0.0000 2.4978
Se 3.7232 0.0000 4.7418
Bi 5.4024 0.0000 7.0551
Cl 3.9397 2.1579 1.2459
Cl 0.1570 4.1065 2.3709
Cl 3.9397 6.0551 1.2459
Cl 0.0184 -1.9434 5.8638
Bi 5.4024 2.0034 3.5851
Bi 5.4024 -2.0034 3.5851
Cl 0.0184 1.9434 5.8638
CELL_PARAMETERS angstrom
6.9254 0.0000 0.0000
0.0000 8.2130 0.0000
0.0000 -4.1065 7.1127
! Space group: P3m1
! Crystal system: trigonal
! E_form (uncorrected): -9.83 eV per formula unit

---

! P2AuS2 PBE optimized geometry; values from VASP
&SYSTEM
  ibrav = 0, nat = 5, ntyp = 3
/
ATOMIC_SPECIES
Au 196.97 Au.upf
P 30.97 P.upf
S 32.06 S.upf
ATOMIC_POSITIONS angstrom
Au -1.4027 -2.2863 1.1705
P -3.1421 -5.3466 1.7922
P -4.1652 -5.3312 -1.8158
S -3.2038 -0.9328 0.2126
S -4.6579 -5.1313 0.2477
CELL_PARAMETERS angstrom
-3.9222 0.3045 0.4632
-0.7762 -2.1703 -4.1907
-0.7698 -5.6672 3.0541
! Space group: P1
! Offset from the most stable computed form: 0.064 eV/atom
! Crystal system: triclinic
! E_form (uncorrected): 0.22 eV per formula unit

---

! CuSiGe2As4 PBE optimized geometry; values from VASP
&SYSTEM
  ibrav = 0, nat = 8, ntyp = 4
/
ATOMIC_SPECIES
As 74.92 As.upf
Si 28.09 Si.upf
Ge 72.64 Ge.upf
Cu 63.55 Cu.upf
ATOMIC_POSITIONS angstrom
As 1.1900 4.3695 1.2533
As -1.3659 -1.4844 4.2375
As 1.3659 1.4844 4.2375
As 4.2558 1.5483 1.2533
Si 2.7229 2.9589 0.0118
Ge 2.8917 0.0713 2.7967
Ge -0.1689 2.8877 2.7967
Cu 0.0000 0.0000 0.0110
CELL_PARAMETERS angstrom
5.7834 0.1425 0.0000
-0.3377 5.7753 0.0000
-2.7229 -2.9589 5.5315
! Space group: Fmm2
! Crystal system: orthorhombic
! E_form (uncorrected): 0.01 eV per formula unit

---

! Ga4CoNi2 PBE optimized geometry; values from VASP
&SYSTEM
  ibrav = 0, nat = 7, ntyp = 3
/
ATOMIC_SPECIES
Ga 69.72 Ga.upf
Ni 58.69 Ni.upf
Co 58.93 Co.upf
ATOMIC_POSITIONS angstrom
Ga -1.7333 -1.3449 1.0953
Ni -2.4155 -3.6990 1.6058
Ga -1.5256 -3.6501 -0.6636
Ni 0.3665 -1.1340 2.4082
Ga -0.3157 -3.4881 2.9188
Ga -0.5234 -1.1830 4.6777
Co 0.0000 0.0000 0.0000
CELL_PARAMETERS angstrom
-2.5991 0.9344 0.8355
-2.5334 -4.8000 -2.5124
3.0835 -0.9675 5.6910
! Space group: C2/m
! Crystal system: monoclinic
! DFT formation energy: -173 meV/atom

---

! PrNdPt PBE optimized geometry; values from VASP
&SYSTEM
  ibrav = 0, nat = 6, ntyp = 3
/
ATOMIC_SPECIES
Pt 195.08 Pt.upf
Pr 140.91 Pr.upf
Nd 144.24 Nd.upf
ATOMIC_POSITIONS angstrom
Pt -4.3072 2.0205 -0.4589
Pr -2.9985 1.1711 2.2060
Nd -4.5166 0.1986 5.3546
Pr -4.8610 3.9022 2.0851
Pt -6.1226 1.2148 2.9393
Nd -3.3435 4.8754 -1.0635
CELL_PARAMETERS angstrom
-2.5697 -1.8386 -1.8108
-3.1890 -1.8189 6.3741
-1.6167 6.7469 -0.8968
! Space group: P-1
! Offset from the most stable computed form: 0.115 eV/atom
! Crystal system: triclinic
! DFT formation energy: -657 meV/atom

---

! BAuI2O PBE optimized geometry; values from VASP
&SYSTEM
  ibrav = 0, nat = 5, ntyp = 4
/
ATOMIC_SPECIES
Au 196.97 Au.upf
B 10.81 B.upf
I 126.90 I.upf
O 16.00 O.upf
ATOMIC_POSITIONS angstrom
Au -4.3493 -1.5939 -0.6011
B 0.0000 0.0000 0.0000
I -1.1983 -2.2582 -1.8388
O -0.3393 -0.7507 1.1430
I -2.8117 1.4150 0.0947
CELL_PARAMETERS angstrom
-5.6234 2.8299 0.1893
-2.3967 -4.5164 -3.6775
-0.6786 -1.5013 2.2861
! Space group: P4/mmm
! Offset from the most stable computed form: 0.000 eV/atom
! Crystal system: tetragonal
! E_form (uncorrected): 0.27 eV per formula unit

---

! MnFeSi2 PBE optimized geometry; values from VASP
&SYSTEM
  ibrav = 0, nat = 4, ntyp = 3
/
ATOMIC_SPECIES
Fe 55.84 Fe.upf
Mn 54.94 Mn.upf
Si 28.09 Si.upf
ATOMIC_POSITIONS angstrom
Fe 1.2269 -4.8038 -0.5320
Mn 1.8403 -7.2057 -0.7980
Si 0.6134 -2.4019 -0.2660
Si 0.0000 0.0000 0.0000
CELL_PARAMETERS angstrom
-1.2486 -3.6150 -1.3963
2.6821 -2.5834 -1.6459
1.0203 -3.4092 1.9781
! Space group: F-43m
! Crystal system: cubic
! E_form (uncorrected): 0.10 eV per formula unit

---

! Ta6FeRe5 PBE optimized geometry; values from VASP
&SYSTEM
  ibrav = 0, nat = 12, ntyp = 3
/
ATOMIC_SPECIES
Re 186.21 Re.upf
Fe 55.84 Fe.upf
Ta 180.95 Ta.upf
ATOMIC_POSITIONS angstrom
Re 1.4907 0.2911 5.3137
Fe 0.0000 0.0000 0.0000
Ta 2.4008 1.3340 0.2021
Re -1.1978 1.5010 4.0772
Ta -0.2790 2.5329 -1.0047
Ta 0.1860 5.2470 0.6429
Re -2.2219 3.8988 0.4162
Ta 0.7388 0.1500 2.6333
Re 0.4624 2.6985 1.6381
Re -0.5658 5.1059 -2.0375
Ta 1.2038 2.8641 4.2809
Ta -1.4760 4.0630 3.0741
CELL_PARAMETERS angstrom
4.3445 -0.0028 -1.2172
-3.2473 6.2996 -3.2492
-0.1724 -0.8998 7.7426
! Space group: Immm
! Crystal system: orthorhombic
! DFT formation energy: -358 meV/atom

---

! LiSmGe PBE optimized geometry; values from VASP
&SYSTEM
  ibrav = 0, nat = 18, ntyp = 3
/
ATOMIC_SPECIES
Ge 72.64 Ge.upf
Sm 150.36 Sm.upf
Li 6.94 Li.upf
ATOMIC_POSITIONS angstrom
Ge -2.1405 -3.2471 -0.1024
Sm -0.3759 -6.6886 -0.9342
Ge 5.0404 -11.3829 -1.4507
Sm 5.5336 -10.2082 1.3205
Sm 3.3114 -10.1328 -3.6190
Li 2.6114 -11.1190 -0.3797
Ge 0.2680 -5.1427 -3.5139
Li -0.2193 -1.3782 0.6720
Li 3.1192 -13.2517 -2.2252
Ge 0.8598 -9.3516 -1.8723
Sm -2.6337 -4.4217 -2.8736
Sm -0.4115 -4.4972 2.0659
Ge 2.6319 -9.4873 1.9608
Li 0.2885 -3.5109 -1.1734
Ge 2.0401 -5.2783 0.3192
Li 1.2056 -7.1491 2.0095
Li 1.6943 -7.4809 -3.5627
Sm 3.2758 -7.9413 -0.6189
CELL_PARAMETERS angstrom
-3.4707 -2.1490 1.5286
-0.9226 -3.1139 -6.4725
7.2932 -9.3671 3.3908
! Space group: P2_1/m
! Crystal system: monoclinic
! DFT formation energy: -685 meV/atom

---

! K5Na2Au2 PBE optimized geometry; values from VASP
&SYSTEM
  ibrav = 0, nat = 18, ntyp = 3
/
ATOMIC_SPECIES
K 39.10 K.upf
Na 22.99 Na.upf
Au 196.97 Au.upf
ATOMIC_POSITIONS angstrom
K 1.1177 -2.9540 10.5359
Na 3.7344 -5.7292 9.0253
K 6.5336 -6.2711 11.9750
Na -0.2256 -1.3728 7.0062
K 3.9599 -4.3564 2.0191
Au 4.6472 -7.4545 3.5421
K 2.0112 -6.9884 12.5193
K 6.7516 -4.9908 4.7842
K 1.3357 -1.6736 3.3450
K 2.2293 -5.7081 5.3284
K 0.0000 0.0000 0.0000
Au 3.2727 -1.2582 0.4960
K 5.6401 -2.2367 9.9916
Au 0.4868 -4.9064 2.4366
Au 7.4331 -3.8063 1.6015
Na -0.6886 -5.6499 8.2117
Na 4.1350 -2.2156 6.2948
K 5.8581 -0.9563 2.8008
CELL_PARAMETERS angstrom
-0.8636 -7.7907 3.9360
8.7835 -0.9221 0.1021
-0.0505 0.7680 11.2819
! Space group: Cmce
! Crystal system: orthorhombic
! DFT formation energy: -133 meV/atom

---

Values of V, in order: 161 286 163 139 238 222 164 81 186 308 405 122 185 98 87 112 48 194 65 404, all in Å³/f.u..
Values of final energy, in order: -4.2618 -4.6272 -3.0116 -5.7851 -3.5650 -3.0038 -5.5800 -7.9627 -6.9094 -4.3845 -3.4442 -4.4269 -4.6677 -4.5697 -5.8531 -3.5485 -7.0937 -12.1758 -4.4352 -1.7645, all in eV/atom.